38
Lattice="8.299 0.014 0.051 3.364 7.587 0.051 5.717 3.726 7.066" Properties=species:S:1:pos:R:3 comment="Mn6PbO12, optimized geometry, DFT GGA+U" de_polymorph_mev_per_atom=0 pbc="T T T"
Mn 10.222 3.062 5.798
Mn 6.033 5.728 3.450
Mn 12.672 8.258 3.445
Mn 11.348 5.599 3.718
Mn 7.158 8.264 1.370
Mn 10.451 3.211 1.370
Mn 8.535 5.562 5.815
Mn 6.930 8.115 5.798
Mn 7.676 3.206 3.450
Mn 9.705 8.120 3.718
Mn 4.709 3.069 3.723
Mn 8.846 5.764 1.352
Pb 4.721 5.505 0.051
Pb 6.943 2.096 0.051
O 13.637 8.886 6.801
O 4.437 6.401 2.481
O 7.648 1.474 2.481
O 9.136 2.359 4.396
O 5.847 7.405 4.396
O 2.130 1.388 1.998
O 8.798 3.928 2.081
O 7.147 6.462 2.081
O 11.533 3.921 2.772
O 12.944 4.926 4.687
O 6.879 6.368 6.734
O 8.603 3.721 6.734
O 3.744 2.440 0.366
O 10.502 4.959 0.433
O 6.030 3.930 2.564
O 7.471 4.869 4.409
O 8.583 7.398 5.086
O 10.234 4.864 5.086
O 15.251 9.939 5.169
O 9.909 6.458 2.759
O 8.245 8.968 2.772
O 11.350 7.397 4.604
O 9.733 9.852 4.687
O 8.777 7.605 0.433